Record 1
! PW3Au PBE relaxed; values from VASP
! - M_tot (μB/cell) = 0.00
! - raw total energy (eV per atom) = -8.561
! - ΔE to the lowest computed polymorph (meV/atom) = 0
&SYSTEM
  ibrav = 0, nat = 5, ntyp = 3
/
ATOMIC_SPECIES
P 30.97 P.upf
W 183.84 W.upf
Au 196.97 Au.upf
ATOMIC_POSITIONS crystal
P 0.0000 0.0000 0.0000
W 0.0000 0.0000 0.5000
W 0.0000 0.5000 0.0000
W 0.5000 0.0000 0.0000
Au 0.5000 0.5000 0.5000
CELL_PARAMETERS angstrom
4.4518 0.0000 0.0000
0.0000 4.4518 0.0000
0.0000 0.0000 4.4518

***

Record 2
! P2WAu PBE relaxed; values from VASP
! - M_tot (μB/cell) = 0.00
! - raw total energy (eV per atom) = -6.661
! - ΔE to the lowest computed polymorph (meV/atom) = 25
&SYSTEM
  ibrav = 0, nat = 4, ntyp = 3
/
ATOMIC_SPECIES
P 30.97 P.upf
W 183.84 W.upf
Au 196.97 Au.upf
ATOMIC_POSITIONS crystal
P 0.0000 0.0000 0.0000
P 0.5000 0.2322 0.2322
W 0.0000 0.6498 0.6498
Au 0.5000 0.4340 0.4340
CELL_PARAMETERS angstrom
3.5079 0.0000 0.0000
0.0000 1.5905 6.1575
0.0000 -1.5905 6.1575

***

Record 3
! P2WAu PBE relaxed; values from VASP
! - M_tot (μB/cell) = 0.00
! - raw total energy (eV per atom) = -6.384
! - ΔE to the lowest computed polymorph (meV/atom) = 302
&SYSTEM
  ibrav = 0, nat = 4, ntyp = 3
/
ATOMIC_SPECIES
P 30.97 P.upf
W 183.84 W.upf
Au 196.97 Au.upf
ATOMIC_POSITIONS crystal
P 0.1663 0.1663 0.0000
P 0.8337 0.8337 0.0000
W 0.0000 0.5000 0.5000
Au 0.5000 0.0000 0.5000
CELL_PARAMETERS angstrom
-1.4568 2.4283 5.7465
1.4568 -2.4283 5.7465
1.4568 2.4283 -5.7465

***

Record 4
! P2WAu PBE relaxed; values from VASP
! - M_tot (μB/cell) = 0.00
! - raw total energy (eV per atom) = -6.621
! - ΔE to the lowest computed polymorph (meV/atom) = 65
&SYSTEM
  ibrav = 0, nat = 4, ntyp = 3
/
ATOMIC_SPECIES
P 30.97 P.upf
W 183.84 W.upf
Au 196.97 Au.upf
ATOMIC_POSITIONS crystal
P 0.2105 0.2105 0.1779
P 0.7895 0.7895 0.8221
W 0.5000 0.5000 0.0000
Au 0.0000 0.0000 0.5000
CELL_PARAMETERS angstrom
4.0879 -1.5695 0.0000
4.0879 1.5695 0.0000
-0.1573 0.0000 5.1602

***

Record 5
! P2WAu PBE relaxed; values from VASP
! - M_tot (μB/cell) = 0.00
! - raw total energy (eV per atom) = -6.212
! - ΔE to the lowest computed polymorph (meV/atom) = 474
&SYSTEM
  ibrav = 0, nat = 4, ntyp = 3
/
ATOMIC_SPECIES
P 30.97 P.upf
W 183.84 W.upf
Au 196.97 Au.upf
ATOMIC_POSITIONS crystal
P 0.0000 0.0000 0.0000
P 0.7500 0.2500 0.5000
W 0.2500 0.7500 0.5000
Au 0.5000 0.5000 0.0000
CELL_PARAMETERS angstrom
-1.8248 1.8248 4.6606
1.8248 -1.8248 4.6606
1.8248 1.8248 -4.6606

***

Record 6
! PWAu PBE relaxed; values from VASP
! - M_tot (μB/cell) = 1.06
! - raw total energy (eV per atom) = -6.645
! - ΔE to the lowest computed polymorph (meV/atom) = 395
&SYSTEM
  ibrav = 0, nat = 3, ntyp = 3
/
ATOMIC_SPECIES
P 30.97 P.upf
W 183.84 W.upf
Au 196.97 Au.upf
ATOMIC_POSITIONS crystal
P 0.0000 0.0000 0.0000
W 0.2500 0.2500 0.2500
Au 0.5000 0.5000 0.5000
CELL_PARAMETERS angstrom
0.0000 3.0328 3.0328
3.0328 0.0000 3.0328
3.0328 3.0328 0.0000

***

Record 7
! PW2Au PBE relaxed; values from VASP
! - M_tot (μB/cell) = 0.00
! - raw total energy (eV per atom) = -8.069
! - ΔE to the lowest computed polymorph (meV/atom) = 470
&SYSTEM
  ibrav = 0, nat = 4, ntyp = 3
/
ATOMIC_SPECIES
P 30.97 P.upf
W 183.84 W.upf
Au 196.97 Au.upf
ATOMIC_POSITIONS crystal
P 0.0000 0.0000 0.0000
W 0.0000 0.5000 0.5000
W 0.5000 0.0000 0.5000
Au 0.5000 0.5000 0.0000
CELL_PARAMETERS angstrom
2.7393 -4.2591 0.0000
2.7393 4.2591 0.0000
-0.7911 0.0000 2.7242

***

Record 8
! PW2Au PBE relaxed; values from VASP
! - M_tot (μB/cell) = 0.00
! - raw total energy (eV per atom) = -8.539
! - ΔE to the lowest computed polymorph (meV/atom) = 0
&SYSTEM
  ibrav = 0, nat = 4, ntyp = 3
/
ATOMIC_SPECIES
P 30.97 P.upf
W 183.84 W.upf
Au 196.97 Au.upf
ATOMIC_POSITIONS crystal
P 0.0000 0.0000 0.0000
W 0.5000 0.5000 0.2061
W 0.5000 0.5000 0.7939
Au 0.0000 0.0000 0.5000
CELL_PARAMETERS angstrom
2.9730 0.0000 0.0000
0.0000 2.9730 0.0000
0.0000 0.0000 6.9165

***

no.,energy relative to the elements (eV/atom)
1,0.948
2,0.101
3,0.378
4,0.142
5,0.551
6,0.568
7,0.580
8,0.109